1.
BaSc2Mn after structural relaxation, computed with GGA-PBE.

Cell and atoms, written as extended XYZ:
```
8
Lattice="0.000 5.124 5.124 5.124 0.000 5.124 5.124 5.124 0.000" Properties=species:S:1:pos:R:3 pbc="T T T"
Ba 1.281 1.281 1.281
Ba 8.967 8.967 8.967
Sc 5.124 2.562 2.562
Sc 2.562 5.124 2.562
Sc 2.562 2.562 5.124
Sc 5.124 5.124 5.124
Mn 3.843 3.843 3.843
Mn 6.405 6.405 6.405
```

As for the symmetry: Fd-3m (227). For the energy relative to the elements, the calculation gives 54.3 kJ per mole of atoms. As for the density of states at the Fermi level: 6.77 states/eV/cell. The value obtained for the spin magnetization is 0.000 μB/f.u.

2.
BeBiO2 after structural relaxation, computed with GGA-PBE.

Cell and atoms, written as extended XYZ:
```
4
Lattice="1.515 0.874 6.163 -1.515 0.874 6.163 0.000 -1.749 6.163" Properties=species:S:1:pos:R:3 pbc="T T T"
Be 0.000 0.000 0.000
Bi 0.000 0.000 9.244
O 0.000 0.000 7.040
O 0.000 0.000 11.447
```

As for the symmetry: R-3m (166). As for the density of states at the Fermi level: 1.01 states/eV/cell. For the uncorrected formation energy, the calculation gives -1.003 eV per atom. The value obtained for the spin magnetization is 0.000 μB/f.u.

3.
IBrF2 after structural relaxation, computed with GGA-PBE.

Cell and atoms, written as extended XYZ:
```
8
Lattice="-2.313 2.313 7.722 2.313 -2.313 7.722 2.313 2.313 -7.722" Properties=species:S:1:pos:R:3 pbc="T T T"
I 0.000 0.000 0.000
I 0.000 2.313 3.861
Br 2.313 0.000 3.861
Br 0.000 0.000 7.722
F 0.351 1.157 1.931
F -1.157 1.962 5.792
F -0.351 3.470 1.931
F 1.157 2.665 5.792
```

As for the symmetry: I-42d (122). As for the density of states at the Fermi level: 4.59 states/eV/cell. For the uncorrected formation energy, the calculation gives -0.416 eV per atom. The value obtained for the spin magnetization is 0.000 μB/f.u.

4.
Ca5W after structural relaxation, computed with GGA-PBE.

Cell and atoms, written as extended XYZ:
```
6
Lattice="2.668 -6.956 0.000 2.668 6.956 0.000 0.000 0.000 5.309" Properties=species:S:1:pos:R:3 pbc="T T T"
Ca 0.000 0.000 0.000
Ca 2.668 4.891 2.654
Ca 2.668 2.044 0.000
Ca 2.668 -2.044 0.000
Ca 2.668 -4.891 2.654
W 2.668 0.000 2.654
```

As for the symmetry: Cmmm (65). For the energy relative to the elements, the calculation gives 58.4 kJ per mole of atoms. As for the density of states at the Fermi level: 5.33 states/eV/cell. The value obtained for the spin magnetization is 2.450 μB/f.u.